# Nb2Cu2Pd7

Crystalline Nb2Cu2Pd7 at its relaxed geometry (GGA-PBE, the Alexandria database).

Lattice parameters (Å, degrees): 5.8183 5.7792 5.8183 90.00 98.54 90.00
Closest atoms and distances in Å follow each position.
Positions (direct):
Cu 0.7208 0.0001 0.2792  7 Pd 2.44-2.48
Cu 0.2792 0.9999 0.7208  7 Pd 2.44-2.48
Pd 0.0000 0.2625 0.5001  2 Cu 2.44, 2 Nb 2.64
Pd 0.5001 0.7336 0.4999  2 Cu 2.48, 1 Pd 2.70, 2 Nb 2.74
Pd 0.5001 0.7375 0.0000  2 Cu 2.44, 2 Nb 2.64
Pd 0.4999 0.2664 0.5001  2 Cu 2.48, 1 Pd 2.70, 2 Nb 2.74
Pd 0.4999 0.2625 0.0000  2 Cu 2.44, 2 Nb 2.64
Pd 0.0000 0.7375 0.4999  2 Cu 2.44, 2 Nb 2.64
Pd 0.0000 0.0000 0.0000  2 Cu 2.46
Nb 0.8142 0.5000 0.8142  6 Pd 2.64-2.74, 1 Nb 2.82
Nb 0.1858 0.5000 0.1858  6 Pd 2.64-2.74, 1 Nb 2.82

Density, Mg/m³: 9.079
ΔH_f (0 K), eV per atom: 0.233
Calculated total energy, eV/cell: -62.12

---

# NbCuPd

Crystalline NbCuPd at its relaxed geometry (GGA-PBE, the Alexandria database).

Lattice parameters (Å, degrees): 3.9109 2.8327 8.4931 80.40 90.00 90.00
Closest atoms and distances in Å follow each position.
Positions (direct):
Cu 0.7500 0.4607 0.0787  2 Cu 2.36
Cu 0.2500 0.5393 0.9213  2 Cu 2.36
Nb 0.2500 0.7003 0.5994  1 Cu 2.70, 6 Nb 2.83-2.93, 4 Pd 2.84
Nb 0.7500 0.2997 0.4006  1 Cu 2.70, 6 Nb 2.83-2.93, 4 Pd 2.84
Pd 0.7500 0.1105 0.7789  6 Cu 2.69-2.88, 2 Pd 2.83, 4 Nb 2.84
Pd 0.2500 0.8895 0.2211  6 Cu 2.69-2.88, 2 Pd 2.83, 4 Nb 2.84

Density, Mg/m³: 9.410
ΔH_f (0 K), eV per atom: -0.063
Relative energy among the computed polymorphs, eV per atom: 0.1138
Calculated total energy, eV/cell: -39.10